# 1
Material: ScIrW2
Method: DFT, GGA-PBE
State: optimized geometry

Properties
Raw total energy (eV/atom): -10.0557
Energy relative to the lowest polymorph listed for this composition (meV/atom): 404
Crystal system: cubic
SG: Fm-3m (225)
Formation energy from the elements (meV per atom): 219

a = 4.5046 Å, b = 4.5046 Å, c = 4.5046 Å
α = 60.00°, β = 60.00°, γ = 60.00°
Atoms (fractional coordinates):
1 Ir 0.5000 0.5000 0.5000
2 Sc 0.0000 0.0000 0.0000
3 W 0.2500 0.2500 0.2500
4 W 0.7500 0.7500 0.7500

# 2
Material: ScIr2W2
Method: DFT, GGA-PBE
State: optimized geometry

Properties
Raw total energy (eV/atom): -10.1791
Crystal system: tetragonal
SG: P4/mbm (127)
Formation energy from the elements (meV per atom): -187

a = 7.8077 Å, b = 7.8077 Å, c = 2.7826 Å
α = 90.00°, β = 90.00°, γ = 90.00°
Last column: magnetic moment on the atom in μB.
Atoms (fractional coordinates):
1 W 0.1206 0.3794 0.0000  0.00
2 W 0.6206 0.1206 0.0000  0.00
3 W 0.3794 0.8794 0.0000  0.00
4 W 0.8794 0.6206 0.0000  0.00
5 Ir 0.8277 0.3277 0.5000  0.00
6 Ir 0.6723 0.8277 0.5000  0.00
7 Ir 0.3277 0.1723 0.5000  0.00
8 Ir 0.1723 0.6723 0.5000  0.00
9 Sc 0.0000 0.0000 0.0000  0.16
10 Sc 0.5000 0.5000 0.0000  0.15

# 3
Material: ScIrW2
Method: DFT, GGA-PBE
State: optimized geometry

Properties
Raw total energy (eV/atom): -10.3270
Energy relative to the lowest polymorph listed for this composition (meV/atom): 133
Crystal system: monoclinic
SG: P2/m (10)
Formation energy from the elements (meV per atom): -52

a = 4.6286 Å, b = 2.8028 Å, c = 5.1752 Å
α = 78.01°, β = 90.00°, γ = 90.00°
Atoms (fractional coordinates):
1 W 0.0000 0.4869 0.5040
2 W 0.0000 0.0131 0.9960
3 Sc 0.5000 0.7500 0.7500
4 Ir 0.5000 0.2500 0.2500

# 4
Material: Sc2IrW
Method: DFT, GGA-PBE
State: optimized geometry

Properties
Raw total energy (eV/atom): -8.8411
Crystal system: tetragonal
SG: P4mm (99)
Formation energy from the elements (meV per atom): -222

a = 2.9814 Å, b = 2.9814 Å, c = 8.5886 Å
α = 90.00°, β = 90.00°, γ = 90.00°
Atoms (fractional coordinates):
1 Sc 0.5000 0.5000 0.2910
2 Sc 0.0000 0.0000 0.9500
3 W 0.0000 0.0000 0.5316
4 Ir 0.5000 0.5000 0.7273

# 5
Material: Sc2IrW
Method: DFT, GGA-PBE
State: optimized geometry

Properties
Raw total energy (eV/atom): -8.3563
Crystal system: tetragonal
SG: I-42d (122)
Formation energy from the elements (meV per atom): 263

a = 7.4714 Å, b = 7.4714 Å, c = 5.9496 Å
α = 51.11°, β = 51.11°, γ = 90.00°
Atoms (fractional coordinates):
1 Sc 0.0943 0.6250 0.2500
2 Sc 0.8750 0.9057 0.7500
3 Sc 0.6557 0.1250 0.2500
4 Sc 0.3750 0.3443 0.7500
5 Ir 0.0000 0.0000 0.0000
6 Ir 0.7500 0.2500 0.5000
7 W 0.2500 0.7500 0.5000
8 W 0.5000 0.5000 0.0000

# 6
Material: Sc2IrW
Method: DFT, GGA-PBE
State: optimized geometry

Properties
Raw total energy (eV/atom): -8.7243
Crystal system: orthorhombic
SG: Pmmm (47)
Formation energy from the elements (meV per atom): -105

a = 3.1994 Å, b = 4.8820 Å, c = 4.4415 Å
α = 90.00°, β = 90.00°, γ = 90.00°
Atoms (fractional coordinates):
1 Sc 0.5000 0.5000 0.0000
2 Sc 0.0000 0.0000 0.0000
3 Ir 0.0000 0.5000 0.5000
4 W 0.5000 0.0000 0.5000

Spin magnetization for every record listed, in sequence, given in μB per atom: 0.000 0.038 0.000 0.000 0.000 0.000.